Entry 1:
Below is a crystal of Ti2Be2Au relaxed with PBEsol, with properties calculated at the meta-GGA SCAN level. Values from VASP.

```
&SYSTEM
  ibrav = 0, nat = 10, ntyp = 3
/
ATOMIC_SPECIES
Ti 47.87 Ti.upf
Be 9.01 Be.upf
Au 196.97 Au.upf
CELL_PARAMETERS angstrom
3.497 0.000 0.000
0.000 6.077 0.000
0.000 0.000 6.077
ATOMIC_POSITIONS crystal
Ti 0.500 0.668 0.832
Be 0.000 0.873 0.627
Au 0.000 0.500 0.500
Ti 0.500 0.832 0.332
Au 0.000 0.000 0.000
Be 0.000 0.127 0.373
Be 0.000 0.373 0.873
Ti 0.500 0.332 0.168
Be 0.000 0.627 0.127
Ti 0.500 0.168 0.668
```

Output
Formation energy from the elements ... -2.528 eV per formula unit
Magnetic moment ... 0.0 Bohr magnetons per cell

---

Entry 2:
Below is a crystal of Be2TlAu2 relaxed with PBEsol, with properties calculated at the meta-GGA SCAN level. Values from VASP.

```
&SYSTEM
  ibrav = 0, nat = 5, ntyp = 3
/
ATOMIC_SPECIES
Au 196.97 Au.upf
Be 9.01 Be.upf
Tl 204.38 Tl.upf
CELL_PARAMETERS angstrom
-2.015 -2.459 1.517
0.884 -2.286 -2.531
5.591 0.424 4.023
ATOMIC_POSITIONS crystal
Au 0.631 0.631 0.262
Au 0.369 0.369 0.738
Be 0.750 0.250 0.500
Tl 0.000 0.000 0.000
Be 0.250 0.750 0.500
```

Output
Formation energy from the elements ... -0.745 eV per formula unit
Magnetic moment ... 0.0 Bohr magnetons per cell

---

Q: formation energy from the elements of number 2 (Be2TlAu2)?
A: -0.745 eV per formula unit

---

Please write out number 2 again, unchanged.
Below is a crystal of Be2TlAu2 relaxed with PBEsol, with properties calculated at the meta-GGA SCAN level. Values from VASP.

```
&SYSTEM
  ibrav = 0, nat = 5, ntyp = 3
/
ATOMIC_SPECIES
Au 196.97 Au.upf
Be 9.01 Be.upf
Tl 204.38 Tl.upf
CELL_PARAMETERS angstrom
-2.015 -2.459 1.517
0.884 -2.286 -2.531
5.591 0.424 4.023
ATOMIC_POSITIONS crystal
Au 0.631 0.631 0.262
Au 0.369 0.369 0.738
Be 0.750 0.250 0.500
Tl 0.000 0.000 0.000
Be 0.250 0.750 0.500
```

Output
Formation energy from the elements ... -0.745 eV per formula unit
Magnetic moment ... 0.0 Bohr magnetons per cell